An optimized crystal structure of SrCaNi4, computed with PBEsol.

a b c (Å): 5.0723 5.0723 5.0723
angles (deg): 60.00 60.00 60.00
Fractional positions:
Ni (0.3744, 0.3744, 0.8767)
Ni (0.3744, 0.3744, 0.3744)
Sr (0.7500, 0.7500, 0.7500)
Ni (0.8767, 0.3744, 0.3744)
Ca (0.0000, 0.0000, 0.0000)
Ni (0.3744, 0.8767, 0.3744)

Values from the calculation:
As for the space group: F-43m. The value obtained for the size of the total moment is 0.001 μB/atom. As for the crystal system: cubic. The calculation puts the total energy at -4.833 eV per atom. The energy of formation comes out at -0.07 eV per atom.